First-principles (PBE) data for crystalline InRh2C at its relaxed geometry, as listed in Alexandria via LeMat-Bulk.

The structure belongs to space group Fm-3m (No. 225); the cell edges are 6.1190, 6.1190 and 6.1190 Å and the angles 90.00°, 90.00° and 90.00°. The asymmetric unit holds In at (0.0000, 0.0000, 0.0000), Rh at (0.2500, 0.2500, 0.2500) and C at (0.0000, 0.0000, 0.5000).

The value obtained for the spin magnetization is 0.133 μB/atom. As for the energy relative to the lowest polymorph listed for this composition: 1.0219 eV per atom. The formation energy is 411 kJ/mol of formula units.



First-principles (PBE) data for crystalline RbNaLa2Br8 at its relaxed geometry, as listed in Alexandria via LeMat-Bulk.

The structure belongs to space group P2/m (No. 10); the cell edges are 7.2647, 9.2858 and 7.3949 Å and the angles 90.00°, 94.55° and 90.00°. The asymmetric unit holds Rb at (0.0000, 0.0000, 0.0000), Na at (0.0000, 0.5000, 0.0000), La at (0.5000, 0.2555, 0.5000), Br at (0.2414, 0.2767, 0.1847), Br at (0.2922, 0.5000, 0.6579) and Br at (0.2968, 0.0000, 0.6426).

The value obtained for the spin magnetization is 0.000 μB/atom. For the uncorrected formation energy, the calculation gives -179.07 kJ per mole of atoms.